# 1
The following is a GGA-PBE calculation of an optimized crystal structure of CsBaNb, from Alexandria via LeMat-Bulk.

ΔE to the lowest computed polymorph in meV per atom: 63.0
Space-group type: P1, No. 1
DOS at the Fermi energy in states/eV/f.u.: 3.93
Energy of formation in eV per atom: 0.51

Cell lengths 4.606, 4.604, 18.292 Å; angles 83.25, 88.94, 117.07 degrees
Atoms (fractional coordinates):
Nb1 0.973 0.145 0.409
Nb2 0.288 0.829 0.409
Cs1 0.891 0.863 0.783
Cs2 0.406 0.085 0.035
Ba1 0.584 0.405 0.539
Ba2 0.678 0.569 0.280



# 2
The following is a GGA-PBE calculation of an optimized crystal structure of Cs3Ba2NbO6, from Alexandria via LeMat-Bulk.

Formation energy (no corrections) in meV per atom: -2136.1
Space-group type: C2/m, No. 12
DOS at the Fermi energy in states/eV/f.u.: 0.00

Cell lengths 6.576, 6.576, 7.107 Å; angles 98.61, 98.61, 120.07 degrees
Atoms (fractional coordinates):
O1 0.057 0.318 0.171
O2 0.943 0.682 0.829
O3 0.682 0.943 0.829
O4 0.318 0.057 0.171
O5 0.204 0.204 0.824
O6 0.796 0.796 0.176
Ba1 0.667 0.333 0.000
Ba2 0.333 0.667 0.000
Cs1 0.500 0.500 0.500
Cs2 0.837 0.163 0.500
Cs3 0.163 0.837 0.500
Nb1 0.000 0.000 0.000



# 3
The following is a GGA-PBE calculation of an optimized crystal structure of Cs2Ba2NbO6, from Alexandria via LeMat-Bulk.

Formation energy (no corrections) in meV per atom: -2137.8
Space-group type: C2/m, No. 12
DOS at the Fermi energy in states/eV/f.u.: 8.44

Cell lengths 6.468, 6.468, 7.215 Å; angles 97.60, 97.60, 118.73 degrees
Atoms (fractional coordinates):
O1 0.206 0.206 0.330
O2 0.957 0.691 0.339
O3 0.794 0.794 0.670
O4 0.309 0.043 0.661
O5 0.043 0.309 0.661
O6 0.691 0.957 0.339
Cs1 0.163 0.837 0.000
Cs2 0.837 0.163 0.000
Ba1 0.338 0.662 0.500
Ba2 0.662 0.338 0.500
Nb1 0.000 0.000 0.500



# 4
The following is a GGA-PBE calculation of an optimized crystal structure of Cs2BaNbO4, from Alexandria via LeMat-Bulk.

Formation energy (no corrections) in meV per atom: -2117.2
Space-group type: I-4, No. 82
DOS at the Fermi energy in states/eV/f.u.: 1.44

Cell lengths 6.505, 6.505, 6.505 Å; angles 93.55, 117.97, 117.97 degrees
Atoms (fractional coordinates):
Cs1 0.000 0.000 0.000
Cs2 0.500 0.750 0.250
Nb1 0.000 0.500 0.500
O1 0.368 0.806 0.741
O2 0.935 0.563 0.194
O3 0.065 0.259 0.628
O4 0.632 0.372 0.437
Ba1 0.500 0.250 0.750



# 5
The following is a GGA-PBE calculation of an optimized crystal structure of CsBa2Nb3O10, from Alexandria via LeMat-Bulk.

Formation energy (no corrections) in meV per atom: -2703.9
Space-group type: P4/mmm, No. 123

Cell lengths 4.028, 4.028, 16.095 Å; angles 90.00, 90.00, 90.00 degrees
Atoms (fractional coordinates):
O1 0.000 0.500 0.265
O2 0.000 0.000 0.124
O3 0.000 0.500 0.735
O4 0.000 0.000 0.876
O5 0.500 0.000 0.735
O6 0.500 0.000 0.265
O7 0.000 0.000 0.600
O8 0.000 0.500 0.000
O9 0.500 0.000 0.000
O10 0.000 0.000 0.400
Cs1 0.500 0.500 0.500
Nb1 0.000 0.000 0.711
Nb2 0.000 0.000 0.000
Nb3 0.000 0.000 0.289
Ba1 0.500 0.500 0.143
Ba2 0.500 0.500 0.857



# 6
The following is a GGA-PBE calculation of an optimized crystal structure of Cs3BaNb2O8, from Alexandria via LeMat-Bulk.

Formation energy (no corrections) in meV per atom: -2267.9
Space-group type: P-3m1, No. 164
DOS at the Fermi energy in states/eV/f.u.: 14.71

Cell lengths 6.737, 6.737, 8.667 Å; angles 90.00, 90.00, 120.00 degrees
Atoms (fractional coordinates):
O1 0.333 0.667 0.018
O2 0.182 0.818 0.308
O3 0.818 0.637 0.692
O4 0.667 0.333 0.982
O5 0.637 0.818 0.308
O6 0.182 0.363 0.308
O7 0.363 0.182 0.692
O8 0.818 0.182 0.692
Nb1 0.667 0.333 0.766
Nb2 0.333 0.667 0.234
Ba1 0.000 0.000 0.500
Cs1 0.000 0.000 0.000
Cs2 0.333 0.667 0.687
Cs3 0.667 0.333 0.313



# 7
The following is a GGA-PBE calculation of an optimized crystal structure of CsBaNbO4, from Alexandria via LeMat-Bulk.

Formation energy (no corrections) in meV per atom: -2544.8
Space-group type: P2_1/m, No. 11
DOS at the Fermi energy in states/eV/f.u.: 0.00

Cell lengths 6.884, 6.616, 8.238 Å; angles 90.00, 101.05, 90.00 degrees
Atoms (fractional coordinates):
O1 0.454 0.750 0.196
O2 0.108 0.974 0.331
O3 0.445 0.750 0.555
O4 0.546 0.250 0.804
O5 0.555 0.250 0.445
O6 0.108 0.526 0.331
O7 0.892 0.474 0.669
O8 0.892 0.026 0.669
Nb1 0.720 0.250 0.653
Nb2 0.280 0.750 0.347
Cs1 0.326 0.250 0.099
Cs2 0.674 0.750 0.901
Ba1 0.798 0.750 0.434
Ba2 0.202 0.250 0.566



# 8
The following is a GGA-PBE calculation of an optimized crystal structure of Cs2Ba2NbS6, from Alexandria via LeMat-Bulk.

Formation energy (no corrections) in meV per atom: -1272.2
Space-group type: C2/m, No. 12
DOS at the Fermi energy in states/eV/f.u.: 13.32

Cell lengths 7.426, 7.426, 8.494 Å; angles 98.88, 98.88, 117.99 degrees
Atoms (fractional coordinates):
S1 0.940 0.667 0.319
S2 0.796 0.796 0.682
S3 0.204 0.204 0.318
S4 0.667 0.940 0.319
S5 0.333 0.060 0.681
S6 0.060 0.333 0.681
Cs1 0.827 0.173 0.000
Cs2 0.173 0.827 0.000
Ba1 0.337 0.663 0.500
Ba2 0.663 0.337 0.500
Nb1 0.000 0.000 0.500



- Number 5 is which compound?
  CsBa2Nb3O10